Entry 1:
Entry from Alexandria via LeMat-Bulk: crystalline CsBrF2 at its relaxed geometry (GGA-PBE).

It has space group R-3m (No. 166, hexagonal axes), with a = 4.9318 Å, b = 4.9318 Å, c = 18.6927 Å, α = 90.00°, β = 90.00° and γ = 120.00°. The distinct sites, in fractional coordinates, are Cs at (0.0000, 0.0000, 0.0000), Br at (0.0000, 0.0000, 0.5000) and F at (0.0000, 0.0000, 0.3930).

For the formation energy (no corrections), the calculation gives -1.80 eV per atom.

=====

Entry 2:
Entry from Alexandria via LeMat-Bulk: crystalline CsBrF at its relaxed geometry (GGA-PBE).

It has space group P2/m (No. 10), with a = 4.3784 Å, b = 4.3784 Å, c = 4.8863 Å, α = 90.00°, β = 90.55° and γ = 90.00°. The distinct sites, in fractional coordinates, are Cs at (0.0000, 0.0000, 0.0000), Br at (0.5000, 0.5000, 0.5000) and F at (0.5000, 0.5000, 0.0000).

For the formation energy (no corrections), the calculation gives -1.63 eV per atom.

=====

Entry 3:
Entry from Alexandria via LeMat-Bulk: crystalline Cs2BrF at its relaxed geometry (GGA-PBE).

It has space group P4/nmm (No. 129, origin choice 2), with a = 5.5004 Å, b = 5.5004 Å, c = 10.8321 Å, α = 90.00°, β = 90.00° and γ = 90.00°. The distinct sites, in fractional coordinates, are Cs at (0.2500, 0.2500, 0.1518), Cs at (0.2500, 0.7500, 0.5000), Br at (0.2500, 0.2500, 0.8087) and F at (0.2500, 0.2500, 0.4088).

For the formation energy (no corrections), the calculation gives -2.19 eV per atom.

=====

Entry 4:
Entry from Alexandria via LeMat-Bulk: crystalline CsBrF6 at its relaxed geometry (GGA-PBE).

It has space group R-3 (No. 148, hexagonal axes), with a = 8.1203 Å, b = 8.1203 Å, c = 8.1999 Å, α = 90.00°, β = 90.00° and γ = 120.00°. The distinct sites, in fractional coordinates, are Cs at (0.0000, 0.0000, 0.0000), Br at (0.0000, 0.0000, 0.5000) and F at (0.0743, 0.8587, 0.6362).

For the formation energy (no corrections), the calculation gives -1.56 eV per atom.

=====

Entry 5:
Entry from Alexandria via LeMat-Bulk: crystalline CsBrF2 at its relaxed geometry (GGA-PBE).

It has space group P6_3/mmc (No. 194), with a = 4.9239 Å, b = 4.9239 Å, c = 12.5033 Å, α = 90.00°, β = 90.00° and γ = 120.00°. The distinct sites, in fractional coordinates, are Cs at (0.0000, 0.0000, 0.0000), Br at (0.3333, 0.6667, 0.2500) and F at (0.3333, 0.6667, 0.0900).

For the formation energy (no corrections), the calculation gives -1.80 eV per atom.

=====

Entry 6:
Entry from Alexandria via LeMat-Bulk: crystalline Cs2BrF at its relaxed geometry (GGA-PBE).

It has space group R-3m (No. 166, hexagonal axes), with a = 4.6879 Å, b = 4.6879 Å, c = 23.9331 Å, α = 90.00°, β = 90.00° and γ = 120.00°. The distinct sites, in fractional coordinates, are Cs at (0.0000, 0.0000, 0.2347), Br at (0.0000, 0.0000, 0.0000) and F at (0.0000, 0.0000, 0.5000).

For the formation energy (no corrections), the calculation gives -2.18 eV per atom.

=====

Entry 7:
Entry from Alexandria via LeMat-Bulk: crystalline Cs2BrF at its relaxed geometry (GGA-PBE).

It has space group Fm-3m (No. 225), with a = 8.2625 Å, b = 8.2625 Å, c = 8.2625 Å, α = 90.00°, β = 90.00° and γ = 90.00°. The distinct sites, in fractional coordinates, are Cs at (0.2500, 0.2500, 0.2500), Br at (0.0000, 0.0000, 0.0000) and F at (0.0000, 0.0000, 0.5000).

For the formation energy (no corrections), the calculation gives -2.04 eV per atom.

=====

Entry 8:
Entry from Alexandria via LeMat-Bulk: crystalline CsBrF2 at its relaxed geometry (GGA-PBE).

It has space group I-42d (No. 122), with a = 5.1889 Å, b = 5.1889 Å, c = 15.5300 Å, α = 90.00°, β = 90.00° and γ = 90.00°. The distinct sites, in fractional coordinates, are Cs at (0.0000, 0.0000, 0.0000), Br at (0.0000, 0.0000, 0.5000) and F at (0.1073, 0.2500, 0.6250).

For the formation energy (no corrections), the calculation gives -1.33 eV per atom.

=====

Entry 9:
Entry from Alexandria via LeMat-Bulk: crystalline Cs2BrF6 at its relaxed geometry (GGA-PBE).

It has space group C2/m (No. 12), with a = 11.8960 Å, b = 6.1934 Å, c = 5.1090 Å, α = 90.00°, β = 90.18° and γ = 90.00°. The distinct sites, in fractional coordinates, are Cs at (0.1769, 0.0000, 0.2867), Br at (0.0000, 0.5000, 0.0000), F at (0.0628, 0.2784, 0.7845) and F at (0.1833, 0.5000, 0.2119).

For the formation energy (no corrections), the calculation gives -1.79 eV per atom.

=====

Entry 10:
Entry from Alexandria via LeMat-Bulk: crystalline Cs2BrF2 at its relaxed geometry (GGA-PBE).

It has space group P4/mbm (No. 127), with a = 8.3690 Å, b = 8.3690 Å, c = 4.0607 Å, α = 90.00°, β = 90.00° and γ = 90.00°. The distinct sites, in fractional coordinates, are Cs at (0.1608, 0.3392, 0.0000), Br at (0.0000, 0.0000, 0.5000) and F at (0.1501, 0.6501, 0.5000).

For the formation energy (no corrections), the calculation gives -1.89 eV per atom.

=====

Entry 11:
Entry from Alexandria via LeMat-Bulk: crystalline Cs5BrF4 at its relaxed geometry (GGA-PBE).

It has space group C2/m (No. 12), with a = 14.5564 Å, b = 4.4173 Å, c = 11.7178 Å, α = 90.00°, β = 117.05° and γ = 90.00°. The distinct sites, in fractional coordinates, are Cs at (0.0000, 0.0000, 0.0000), Cs at (0.1007, 0.5000, 0.3455), Cs at (0.2087, 0.0000, 0.8245), Br at (0.0000, 0.0000, 0.5000), F at (0.0988, 0.5000, 0.9043) and F at (0.1822, 0.0000, 0.2524).

For the formation energy (no corrections), the calculation gives -2.45 eV per atom.

=====

Entry 12:
Entry from Alexandria via LeMat-Bulk: crystalline Cs8BrF2 at its relaxed geometry (GGA-PBE).

It has space group C2/m (No. 12), with a = 15.5612 Å, b = 13.2589 Å, c = 8.4061 Å, α = 90.00°, β = 91.89° and γ = 90.00°. The distinct sites, in fractional coordinates, are Cs at (0.1211, 0.0000, 0.2679), Cs at (0.1210, 0.3223, 0.7658), Cs at (0.1789, 0.5000, 0.3053), Br at (0.0000, 0.5000, 0.0000) and F at (0.2003, 0.5000, 0.6417).

For the formation energy (no corrections), the calculation gives -1.26 eV per atom.

=====

Entry 13:
Entry from Alexandria via LeMat-Bulk: crystalline Cs2GeBr5F at its relaxed geometry (GGA-PBE).

It has space group I4mm (No. 107), with a = 7.7395 Å, b = 7.7395 Å, c = 10.9473 Å, α = 90.00°, β = 90.00° and γ = 90.00°. The distinct sites, in fractional coordinates, are Cs at (0.0000, 0.5000, 0.0000), Ge at (0.0000, 0.0000, 0.2501), Br at (0.0000, 0.0000, 0.0191), Br at (0.2309, 0.2309, 0.2526) and F at (0.0000, 0.0000, 0.4169).

For the formation energy (no corrections), the calculation gives -1.38 eV per atom.

=====

Entry 14:
Entry from Alexandria via LeMat-Bulk: crystalline Cs6H2Br3F at its relaxed geometry (GGA-PBE).

It has space group C2/m (No. 12), with a = 21.2492 Å, b = 4.8267 Å, c = 9.7871 Å, α = 90.00°, β = 104.42° and γ = 90.00°. The distinct sites, in fractional coordinates, are Cs at (0.0056, 0.0000, 0.2233), Cs at (0.1543, 0.5000, 0.0961), Cs at (0.1741, 0.5000, 0.5644), H at (0.1641, 0.0000, 0.3287), Br at (0.0000, 0.5000, 0.5000), Br at (0.1686, 0.0000, 0.8328) and F at (0.0000, 0.5000, 0.0000).

The electronic total energy comes out at -0.107 Ha/atom.

=====

Entry 15:
Entry from Alexandria via LeMat-Bulk: crystalline CsH2BrF8 at its relaxed geometry (GGA-PBE).

It has space group P-1 (No. 2), with a = 5.1182 Å, b = 5.1596 Å, c = 8.3810 Å, α = 79.19°, β = 79.16° and γ = 71.23°. The distinct sites, in fractional coordinates, are Cs at (0.0000, 0.0000, 0.0000), H at (0.3066, 0.3143, 0.2503), Br at (0.0000, 0.0000, 0.5000), F at (0.2148, 0.7773, 0.6639), F at (0.2313, 0.7883, 0.3369), F at (0.2330, 0.2395, 0.4474) and F at (0.3298, 0.3387, 0.1316).

The electronic total energy comes out at -0.130 Ha/atom.

=====

Entry 16:
Entry from Alexandria via LeMat-Bulk: crystalline Cs8H3Br4F at its relaxed geometry (GGA-PBE).

It has space group C2/m (No. 12), with a = 16.7913 Å, b = 9.6827 Å, c = 9.8061 Å, α = 90.00°, β = 124.79° and γ = 90.00°. The distinct sites, in fractional coordinates, are Cs at (0.0100, 0.2446, 0.2860), Cs at (0.2351, 0.0000, 0.7145), Cs at (0.2391, 0.5000, 0.7168), H at (0.0000, 0.5000, 0.5000), H at (0.2500, 0.2500, 0.5000), Br at (0.0000, 0.0000, 0.0000), Br at (0.0000, 0.5000, 0.0000), Br at (0.2500, 0.2500, 0.0000) and F at (0.0000, 0.0000, 0.5000).

The electronic total energy comes out at -0.105 Ha/atom.

=====

Entry 17:
Entry from Alexandria via LeMat-Bulk: crystalline Cs4H2BrF at its relaxed geometry (GGA-PBE).

It has space group Imma (No. 74), with a = 9.3414 Å, b = 9.4510 Å, c = 13.3775 Å, α = 90.00°, β = 90.00° and γ = 90.00°. The distinct sites, in fractional coordinates, are Cs at (0.0000, 0.0257, 0.2277), Cs at (0.2471, 0.2500, 0.4886), H at (0.0000, 0.0000, 0.5000), H at (0.2500, 0.2500, 0.2500), Br at (0.2500, 0.2500, 0.7500) and F at (0.0000, 0.0000, 0.0000).

The electronic total energy comes out at -0.105 Ha/atom.

=====

Entry 18:
Entry from Alexandria via LeMat-Bulk: crystalline Cs4HBrF2 at its relaxed geometry (GGA-PBE).

It has space group P2/m (No. 10), with a = 7.9816 Å, b = 4.5894 Å, c = 8.1306 Å, α = 90.00°, β = 109.14° and γ = 90.00°. The distinct sites, in fractional coordinates, are Cs at (0.2258, 0.0000, 0.2100), Cs at (0.2431, 0.5000, 0.7737), H at (0.0000, 0.0000, 0.5000), Br at (0.5000, 0.5000, 0.5000), F at (0.0000, 0.5000, 0.0000) and F at (0.5000, 0.0000, 0.0000).

The electronic total energy comes out at -0.121 Ha/atom.

=====

Entry 19:
Entry from Alexandria via LeMat-Bulk: crystalline Cs6H3Br2F at its relaxed geometry (GGA-PBE).

It has space group C2/m (No. 12), with a = 20.9234 Å, b = 4.7186 Å, c = 9.6771 Å, α = 90.00°, β = 103.18° and γ = 90.00°. The distinct sites, in fractional coordinates, are Cs at (0.0051, 0.0000, 0.2777), Cs at (0.1557, 0.5000, 0.1053), Cs at (0.1628, 0.5000, 0.5562), H at (0.0000, 0.5000, 0.0000), H at (0.1609, 0.0000, 0.3406), Br at (0.1677, 0.0000, 0.8325) and F at (0.0000, 0.5000, 0.5000).

The electronic total energy comes out at -0.102 Ha/atom.

=====

Entry 20:
Entry from Alexandria via LeMat-Bulk: crystalline CsHBrF at its relaxed geometry (GGA-PBE).

It has space group Pm (No. 6), with a = 5.2947 Å, b = 4.6492 Å, c = 5.4503 Å, α = 90.00°, β = 98.20° and γ = 90.00°. The distinct sites, in fractional coordinates, are Cs at (0.0000, 0.0000, 0.0000), H at (0.2191, 0.5000, 0.5169), Br at (0.4762, 0.5000, 0.8157) and F at (0.0756, 0.5000, 0.3753).

The electronic total energy comes out at -0.133 Ha/atom.